Record 1
## Li2HfGa (GGA-PBE)

Data for a relaxed Li2HfGa crystal.

VASP energy ... -3.91 eV/atom
V ... 18.4 A^3/atom
Density of states at the Fermi level ... 8.6 states/eV/cell
Space group ... I-42d (122)
Mass density ... 5.9 g/cm³
Energy of formation ... 0.288 eV/atom

Cell lengths 5.858, 5.858, 5.858 Å; angles 102.72, 102.72, 124.03 degrees
Element x y z (fractional)
Li 0.086 0.625 0.961
Li 0.375 0.336 0.461
Li 0.664 0.125 0.039
Li 0.875 0.914 0.539
Hf 0.250 0.750 0.500
Hf 0.500 0.500 0.000
Ga 0.000 0.000 0.000
Ga 0.750 0.250 0.500

=====

Record 2
## LiHfGa (GGA-PBE)

Data for a relaxed LiHfGa crystal.

VASP energy ... -4.13 eV/atom
V ... 22.5 A^3/atom
Density of states at the Fermi level ... 7.4 states/eV/cell
Space group ... P6_3/mmc (194)
Mass density ... 6.3 g/cm³
Polymorph energy (0 for the lowest one) ... 1.140 eV/atom
Energy of formation ... 0.832 eV/atom

Cell lengths 3.805, 3.805, 10.764 Å; angles 90.00, 90.00, 120.00 degrees
Element x y z (fractional)
Li 0.333 0.667 0.250
Li 0.667 0.333 0.750
Hf 0.000 0.000 0.000
Hf 0.000 0.000 0.500
Ga 0.000 0.000 0.250
Ga 0.000 0.000 0.750

=====

Record 3
## Li2Hf3Ga4 (GGA-PBE)

Data for a relaxed Li2Hf3Ga4 crystal.

VASP energy ... -5.43 eV/atom
V ... 17.0 A^3/atom
Density of states at the Fermi level ... 4.2 states/eV/cell
Space group ... C2/m (12)
Mass density ... 9.0 g/cm³
Energy of formation ... -0.342 eV/atom

Cell lengths 5.360, 5.360, 8.124 Å; angles 114.75, 114.75, 47.45 degrees
Element x y z (fractional)
Li 0.120 0.120 0.289
Li 0.880 0.880 0.711
Hf 0.162 0.162 0.670
Hf 0.500 0.500 0.000
Hf 0.838 0.838 0.330
Ga 0.213 0.213 0.058
Ga 0.435 0.435 0.609
Ga 0.565 0.565 0.391
Ga 0.787 0.787 0.942

=====

Record 4
## LiLuHfGa (GGA-PBE)

Data for a relaxed LiLuHfGa crystal.

VASP energy ... -5.01 eV/atom
V ... 19.7 A^3/atom
Density of states at the Fermi level ... 2.4 states/eV/cell
Space group ... F-43m (216)
Mass density ... 9.1 g/cm³
Energy of formation ... -0.161 eV/atom

Cell lengths 4.812, 4.812, 4.812 Å; angles 60.00, 60.00, 60.00 degrees
Element x y z (fractional)
Li 0.000 0.000 0.000
Lu 0.750 0.750 0.750
Hf 0.250 0.250 0.250
Ga 0.500 0.500 0.500